Record 1
A plane-wave DFT calculation with PBE with a Hubbard U was carried out for crystalline HoNi2PbO6 at its relaxed geometry.

a = 5.6485 Å, b = 5.2514 Å, c = 5.6279 Å
α = 60.61°, β = 56.89°, γ = 60.36°
Last column: magnetic moment on the atom in μB.
Sites, in units of the cell vectors:
O 0.7043 0.3391 0.1202  -0.02
O 0.1994 0.3206 0.6172  -0.04
O 0.8603 0.6855 0.2572  -0.03
Ni 0.5203 0.5121 0.4537  1.70
O 0.3417 0.7114 0.7717  -0.04
Ni 0.0148 0.0175 0.9419  1.32
Pb 0.3056 0.2910 0.1691  0.00
O 0.2199 0.8960 0.2583  0.05
O 0.7095 0.1473 0.7523  0.06
Ho 0.7858 0.7411 0.6736  0.01

Output
uncorrected energy = -58.3 eV/f.u.
crystal system = triclinic
total magnetic moment = 3.000 μB/cell
space group = P1


Record 2
A plane-wave DFT calculation with PBE with a Hubbard U was carried out for crystalline HoNiPtO4 at its relaxed geometry.

a = 7.0372 Å, b = 6.1494 Å, c = 6.6291 Å
α = 122.62°, β = 90.00°, γ = 124.90°
Last column: magnetic moment on the atom in μB.
Sites, in units of the cell vectors:
Ni 0.0534 0.1069 0.8034  1.77
Ni 0.9466 0.8931 0.1966  1.77
Ho 0.5000 0.0000 0.5000  0.03
O 0.8007 0.6014 0.3504  0.04
Pt 0.0000 0.5000 0.5000  -0.05
O 0.3028 0.0380 0.7690  0.02
O 0.8007 0.6014 0.7510  0.04
O 0.7351 0.0380 0.7690  0.02
Ho 0.5000 0.0000 0.0000  0.03
O 0.1993 0.3986 0.6496  0.04
O 0.6972 0.9620 0.2310  0.02
Pt 0.5000 0.5000 0.5000  -0.05
O 0.1993 0.3986 0.2490  0.04
O 0.2649 0.9620 0.2310  0.02

Output
uncorrected energy = -43.8 eV/f.u.
crystal system = orthorhombic
total magnetic moment = 3.763 μB/cell
space group = Imma


Record 3
A plane-wave DFT calculation with PBE with a Hubbard U was carried out for crystalline HoPuNiO6 at its relaxed geometry.

a = 5.2669 Å, b = 5.2669 Å, c = 9.9151 Å
α = 90.00°, β = 90.00°, γ = 120.00°
Last column: magnetic moment on the atom in μB.
Sites, in units of the cell vectors:
O 0.6563 0.0100 0.3634  -0.03
O 0.3437 0.3538 0.8634  -0.03
Pu 0.6667 0.3333 0.2500  1.43
Ni 0.6667 0.3333 0.7500  1.73
O 0.6462 0.9900 0.8634  -0.03
Ho 0.0000 0.0000 0.0000  -0.01
Pu 0.3333 0.6667 0.7500  1.43
O 0.9900 0.6462 0.3634  -0.03
O 0.6462 0.6563 0.6366  -0.03
O 0.3538 0.0100 0.1366  -0.03
O 0.3538 0.3437 0.3634  -0.03
O 0.0100 0.6563 0.8634  -0.03
O 0.6563 0.6462 0.1366  -0.03
Ho 0.0000 0.0000 0.5000  -0.01
O 0.9900 0.3437 0.1366  -0.03
O 0.0100 0.3538 0.6366  -0.03
O 0.3437 0.9900 0.6366  -0.03
Ni 0.3333 0.6667 0.2500  1.73

Output
uncorrected energy = -72.8 eV/f.u.
crystal system = trigonal
total magnetic moment = 6.000 μB/cell
space group = P-31c


Record 4
A plane-wave DFT calculation with PBE with a Hubbard U was carried out for crystalline Ho2NiRuO6 at its relaxed geometry.

a = 5.7270 Å, b = 5.2706 Å, c = 9.2786 Å
α = 55.39°, β = 90.00°, γ = 90.00°
Last column: magnetic moment on the atom in μB.
Sites, in units of the cell vectors:
Ho 0.5782 0.7748 0.2515  0.02
O 0.9529 0.6280 0.2461  0.11
O 0.0471 0.3720 0.7539  0.11
O 0.1894 0.7472 0.9401  0.11
O 0.8038 0.8838 0.4361  0.10
O 0.1962 0.1162 0.5639  0.10
Ru 0.5000 0.0000 0.5000  1.45
Ho 0.0782 0.2252 0.2485  0.02
Ni 0.0000 0.5000 0.5000  1.75
Ho 0.4218 0.2252 0.7485  0.02
O 0.8106 0.2528 0.0599  0.11
O 0.3106 0.7472 0.4401  0.11
O 0.3038 0.1162 0.0639  0.10
O 0.6962 0.8838 0.9361  0.10
Ho 0.9218 0.7748 0.7515  0.02
O 0.4529 0.3720 0.2539  0.11
O 0.6894 0.2528 0.5599  0.11
Ni 0.5000 0.5000 0.0000  1.75
O 0.5471 0.6280 0.7461  0.11
Ru 0.0000 0.0000 0.0000  1.45

Output
uncorrected energy = -73.6 eV/f.u.
crystal system = monoclinic
total magnetic moment = 8.007 μB/cell
space group = P2_1/c


Record 5
A plane-wave DFT calculation with PBE with a Hubbard U was carried out for crystalline HoNi2SbO6 at its relaxed geometry.

a = 5.3229 Å, b = 5.3231 Å, c = 5.7104 Å
α = 62.22°, β = 62.22°, γ = 59.99°
Last column: magnetic moment on the atom in μB.
Sites, in units of the cell vectors:
Sb 0.3193 0.3192 0.0422  0.00
O 0.1367 0.3892 0.7627  0.07
Ni 0.5212 0.5212 0.4366  1.77
O 0.9323 0.5961 0.2392  0.06
O 0.5960 0.2324 0.2393  0.06
O 0.3892 0.7114 0.7626  0.07
Ho 0.8080 0.8081 0.5759  0.00
O 0.2325 0.9322 0.2392  0.06
Ni 0.0151 0.0150 0.9548  1.77
O 0.7115 0.1368 0.7626  0.07

Output
uncorrected energy = -62.2 eV/f.u.
crystal system = trigonal
total magnetic moment = 4.000 μB/cell
space group = R3


Record 6
A plane-wave DFT calculation with PBE with a Hubbard U was carried out for crystalline HoNi2SnO6 at its relaxed geometry.

a = 5.3167 Å, b = 5.3240 Å, c = 5.6375 Å
α = 61.93°, β = 61.87°, γ = 59.91°
Last column: magnetic moment on the atom in μB.
Sites, in units of the cell vectors:
O 0.7289 0.1514 0.7493  -0.04
Ho 0.8016 0.8019 0.5944  0.01
O 0.1525 0.3714 0.7481  -0.04
Ni 0.5182 0.5180 0.4458  1.65
O 0.6228 0.2343 0.2354  -0.03
O 0.3708 0.7282 0.7493  -0.04
O 0.2343 0.9077 0.2351  -0.03
O 0.9069 0.6220 0.2366  -0.02
Sn 0.3125 0.3133 0.0607  0.01
Ni 0.0131 0.0135 0.9605  1.56

Output
uncorrected energy = -61.1 eV/f.u.
crystal system = triclinic
total magnetic moment = 3.000 μB/cell
space group = P1


Record 7
A plane-wave DFT calculation with PBE with a Hubbard U was carried out for crystalline HoNi2TeO6 at its relaxed geometry.

a = 5.4075 Å, b = 5.4077 Å, c = 5.7006 Å
α = 61.70°, β = 61.70°, γ = 60.02°
Last column: magnetic moment on the atom in μB.
Sites, in units of the cell vectors:
O 0.2320 0.9095 0.2377  0.22
O 0.7098 0.1427 0.7613  0.12
Ni 0.0150 0.0150 0.9550  1.78
O 0.6211 0.2317 0.2377  0.23
O 0.3862 0.7100 0.7613  0.12
Ni 0.5226 0.5225 0.4324  1.79
Ho 0.8059 0.8059 0.5824  0.04
Te 0.3171 0.3172 0.0486  0.17
O 0.1426 0.3860 0.7613  0.12
O 0.9093 0.6211 0.2376  0.23

Output
uncorrected energy = -59.0 eV/f.u.
crystal system = trigonal
total magnetic moment = 4.997 μB/cell
space group = R3


Record 8
A plane-wave DFT calculation with PBE with a Hubbard U was carried out for crystalline Ho2UNiO8 at its relaxed geometry.

a = 4.9938 Å, b = 4.9969 Å, c = 6.8389 Å
α = 84.54°, β = 95.42°, γ = 93.79°
Last column: magnetic moment on the atom in μB.
Sites, in units of the cell vectors:
O 0.6977 0.7003 0.9997  0.04
Ni 0.0000 0.0000 0.5000  1.10
O 0.7950 0.2075 0.7846  0.06
O 0.8367 0.1644 0.2651  0.09
O 0.2050 0.7925 0.2154  0.06
O 0.1633 0.8356 0.7349  0.09
O 0.3023 0.2997 0.0003  0.04
O 0.2762 0.2752 0.5000  0.18
O 0.7238 0.7248 0.5000  0.18
Ho 0.4714 0.5282 0.7372  -0.01
Ho 0.5286 0.4718 0.2628  -0.01
U 0.0000 0.0000 0.0000  0.01

Output
uncorrected energy = -93.4 eV/f.u.
crystal system = triclinic
total magnetic moment = 2.016 μB/cell
space group = P-1